No. 1
# PBE-GGA Ta3C, relaxed
# Formation energy from the elements: 978.6 meV/atom
# Polymorph energy (0 for the lowest one): 129.4 kJ per mole of atoms
# Space group: P6_3/mmc (194)
data_Ta3C
_space_group_name_H-M_alt 'P 1'
_space_group_IT_number 1
_cell_length_a 5.451
_cell_length_b 5.451
_cell_length_c 4.716
_cell_angle_alpha 90.00
_cell_angle_beta 90.00
_cell_angle_gamma 120.00
loop_
_space_group_symop_operation_xyz
'x,y,z'
loop_
_atom_site_label
_atom_site_type_symbol
_atom_site_fract_x
_atom_site_fract_y
_atom_site_fract_z
_atom_site_occupancy
Ta1 Ta 0.167 0.335 0.250 1
Ta2 Ta 0.167 0.833 0.250 1
Ta3 Ta 0.335 0.167 0.750 1
Ta4 Ta 0.665 0.833 0.250 1
Ta5 Ta 0.833 0.167 0.750 1
Ta6 Ta 0.833 0.665 0.750 1
C1 C 0.333 0.667 0.750 1
C2 C 0.667 0.333 0.250 1



No. 2
# PBE-GGA Tm4USb5, relaxed
# Energy relative to the elements, uncorrected: -878 meV/atom
# Space group: I4/m (87)
data_Tm4USb5
_space_group_name_H-M_alt 'P 1'
_space_group_IT_number 1
_cell_length_a 7.521
_cell_length_b 7.521
_cell_length_c 7.521
_cell_angle_alpha 99.63
_cell_angle_beta 99.63
_cell_angle_gamma 131.72
loop_
_space_group_symop_operation_xyz
'x,y,z'
loop_
_atom_site_label
_atom_site_type_symbol
_atom_site_fract_x
_atom_site_fract_y
_atom_site_fract_z
_atom_site_occupancy
Tm1 Tm 0.100 0.300 0.400 1
Tm2 Tm 0.300 0.900 0.199 1
Tm3 Tm 0.700 0.100 0.801 1
Tm4 Tm 0.900 0.700 0.600 1
U1 U 0.500 0.500 0.000 1
Sb1 Sb 0.000 0.000 0.000 1
Sb2 Sb 0.199 0.599 0.798 1
Sb3 Sb 0.401 0.199 0.600 1
Sb4 Sb 0.599 0.801 0.400 1
Sb5 Sb 0.801 0.401 0.202 1



No. 3
# PBE-GGA Sm4Dy3Th, relaxed
# Formation energy from the elements: 40.7 meV/atom
# Polymorph energy (0 for the lowest one): 0.0 kJ per mole of atoms
# Space group: Pmn2_1 (31)
data_Sm4Dy3Th
_space_group_name_H-M_alt 'P 1'
_space_group_IT_number 1
_cell_length_a 11.548
_cell_length_b 7.300
_cell_length_c 6.290
_cell_angle_alpha 90.00
_cell_angle_beta 90.00
_cell_angle_gamma 90.00
loop_
_space_group_symop_operation_xyz
'x,y,z'
loop_
_atom_site_label
_atom_site_type_symbol
_atom_site_fract_x
_atom_site_fract_y
_atom_site_fract_z
_atom_site_occupancy
Sm1 Sm 0.000 0.131 0.000 1
Sm2 Sm 0.000 0.866 0.504 1
Sm3 Sm 0.249 0.872 0.846 1
Sm4 Sm 0.251 0.128 0.346 1
Sm5 Sm 0.500 0.134 0.004 1
Sm6 Sm 0.500 0.869 0.500 1
Sm7 Sm 0.749 0.128 0.346 1
Sm8 Sm 0.751 0.872 0.846 1
Dy1 Dy 0.000 0.380 0.506 1
Dy2 Dy 0.250 0.381 0.831 1
Dy3 Dy 0.250 0.619 0.331 1
Dy4 Dy 0.500 0.620 0.006 1
Dy5 Dy 0.750 0.381 0.831 1
Dy6 Dy 0.750 0.619 0.331 1
Th1 Th 0.000 0.620 0.005 1
Th2 Th 0.500 0.380 0.505 1